1.
PuURe: relaxed, PBE.

Values from the calculation:
ΔH_f (0 K) = 0.47 eV/atom
energy above the most stable polymorph in this dataset = 0.000 eV/atom

Unit cell a=4.356 b=4.356 c=4.356 alpha=60.00 beta=60.00 gamma=60.00
Fractional positions:
Pu (0.250, 0.250, 0.250)
Re (0.750, 0.750, 0.750)
U (0.000, 0.000, 0.000)

2.
NaSrCoTe: relaxed, PBE.

Values from the calculation:
energy above the most stable polymorph in this dataset = 0.000 eV/atom

Unit cell a=5.386 b=5.386 c=5.386 alpha=60.00 beta=60.00 gamma=60.00
Fractional positions:
Co (0.000, 0.000, 0.000)
Na (0.750, 0.750, 0.750)
Sr (0.250, 0.250, 0.250)
Te (0.500, 0.500, 0.500)

3.
TlTcAgSe3: relaxed, PBE.

Values from the calculation:
energy above the most stable polymorph in this dataset = 0.101 eV/atom

Unit cell a=7.817 b=7.817 c=10.186 alpha=90.00 beta=90.00 gamma=26.20
Each line ends with the local moment (μB).
Fractional positions:
Ag (0.434, 0.434, 0.250)  0.06
Ag (0.566, 0.566, 0.750)  0.06
Se (0.379, 0.379, 0.014)  0.07
Se (0.065, 0.065, 0.250)  -0.04
Se (0.379, 0.379, 0.486)  0.07
Se (0.621, 0.621, 0.514)  0.07
Se (0.935, 0.935, 0.750)  -0.04
Se (0.621, 0.621, 0.986)  0.07
Tc (0.000, 0.000, 0.000)  1.79
Tc (0.000, 0.000, 0.500)  1.81
Tl (0.750, 0.750, 0.250)  0.03
Tl (0.250, 0.250, 0.750)  0.03

4.
NdZrS3: relaxed, PBE.

Values from the calculation:
energy above the most stable polymorph in this dataset = 0.037 eV/atom

Unit cell a=8.246 b=3.797 c=13.505 alpha=90.00 beta=90.00 gamma=90.00
Each line ends with the local moment (μB).
Fractional positions:
Nd (0.079, 0.250, 0.174)  0.01
Nd (0.579, 0.250, 0.326)  0.01
Nd (0.421, 0.750, 0.674)  0.01
Nd (0.921, 0.750, 0.826)  0.01
S (0.154, 0.750, 0.017)  0.00
S (0.474, 0.250, 0.120)  0.00
S (0.807, 0.750, 0.216)  0.00
S (0.307, 0.750, 0.284)  0.00
S (0.974, 0.250, 0.380)  0.00
S (0.654, 0.750, 0.483)  0.00
S (0.346, 0.250, 0.517)  0.00
S (0.026, 0.750, 0.620)  0.00
S (0.693, 0.250, 0.716)  0.00
S (0.193, 0.250, 0.784)  0.00
S (0.526, 0.750, 0.880)  0.00
S (0.846, 0.250, 0.983)  0.00
Zr (0.656, 0.750, 0.049)  0.09
Zr (0.156, 0.750, 0.451)  0.09
Zr (0.844, 0.250, 0.549)  0.09
Zr (0.344, 0.250, 0.951)  0.09

5.
ScNbTlCu: relaxed, PBE.

Values from the calculation:
energy above the most stable polymorph in this dataset = 0.000 eV/atom

Unit cell a=4.794 b=4.794 c=4.794 alpha=60.00 beta=60.00 gamma=60.00
Fractional positions:
Cu (0.750, 0.750, 0.750)
Nb (0.250, 0.250, 0.250)
Sc (0.500, 0.500, 0.500)
Tl (0.000, 0.000, 0.000)

6.
CsRbZrTe4Au2: relaxed, PBE.

Values from the calculation:
calculated total energy = -4.052 eV per atom

Unit cell a=6.506 b=6.504 c=8.197 alpha=90.00 beta=112.73 gamma=90.00
Fractional positions:
Au (0.000, 0.001, 0.500)
Au (0.500, 0.501, 0.500)
Cs (0.000, 0.258, 0.000)
Rb (0.500, 0.744, 0.000)
Te (0.640, 0.244, 0.285)
Te (0.149, 0.754, 0.286)
Te (0.851, 0.754, 0.714)
Te (0.360, 0.244, 0.715)
Zr (0.500, 0.999, 0.500)

7.
NaYNiTe3: relaxed, PBE.

Values from the calculation:
energy above the most stable polymorph in this dataset = 0.005 eV/atom

Unit cell a=14.954 b=4.181 c=11.335 alpha=90.00 beta=90.00 gamma=90.00
Fractional positions:
Na (0.724, 0.250, 0.044)
Na (0.224, 0.250, 0.456)
Na (0.776, 0.750, 0.544)
Na (0.276, 0.750, 0.956)
Ni (0.509, 0.750, 0.103)
Ni (0.009, 0.750, 0.397)
Ni (0.991, 0.250, 0.603)
Ni (0.491, 0.250, 0.897)
Te (0.883, 0.750, 0.071)
Te (0.415, 0.250, 0.096)
Te (0.644, 0.750, 0.241)
Te (0.144, 0.750, 0.259)
Te (0.915, 0.250, 0.404)
Te (0.383, 0.750, 0.429)
Te (0.617, 0.250, 0.571)
Te (0.085, 0.750, 0.596)
Te (0.856, 0.250, 0.741)
Te (0.356, 0.250, 0.759)
Te (0.585, 0.750, 0.904)
Te (0.117, 0.250, 0.929)
Y (0.016, 0.250, 0.161)
Y (0.516, 0.250, 0.339)
Y (0.484, 0.750, 0.661)
Y (0.984, 0.750, 0.839)

8.
Tm3Mg3PtAu2: relaxed, PBE.

Values from the calculation:
calculated total energy = -4.182 eV per atom

Unit cell a=7.379 b=7.379 c=4.100 alpha=90.00 beta=90.00 gamma=120.00
Fractional positions:
Au (0.667, 0.333, 0.500)
Au (0.333, 0.667, 0.500)
Mg (0.243, 0.000, 0.500)
Mg (0.000, 0.243, 0.500)
Mg (0.757, 0.757, 0.500)
Pt (0.000, 0.000, 0.000)
Tm (0.596, 0.000, 0.000)
Tm (0.404, 0.404, 0.000)
Tm (0.000, 0.596, 0.000)

9.
AcErNp: relaxed, PBE.

Values from the calculation:
ΔH_f (0 K) = 1.15 eV/atom
energy above the most stable polymorph in this dataset = 0.000 eV/atom

Unit cell a=5.354 b=5.354 c=5.354 alpha=60.00 beta=60.00 gamma=60.00
Each line ends with the local moment (μB).
Fractional positions:
Ac (0.500, 0.500, 0.500)  0.14
Er (0.000, 0.000, 0.000)  0.33
Np (0.250, 0.250, 0.250)  4.27

10.
TaCuReB: relaxed, PBE.

Values from the calculation:
energy above the most stable polymorph in this dataset = 0.000 eV/atom

Unit cell a=4.235 b=4.235 c=4.235 alpha=60.00 beta=60.00 gamma=60.00
Fractional positions:
B (0.000, 0.000, 0.000)
Cu (0.750, 0.750, 0.750)
Re (0.250, 0.250, 0.250)
Ta (0.500, 0.500, 0.500)

11.
CsPaSi: relaxed, PBE.

Values from the calculation:
energy above the most stable polymorph in this dataset = 0.000 eV/atom

Unit cell a=5.205 b=5.205 c=5.205 alpha=60.00 beta=60.00 gamma=60.00
Fractional positions:
Cs (0.250, 0.250, 0.250)
Pa (0.750, 0.750, 0.750)
Si (0.000, 0.000, 0.000)

12.
MgZrFeSn: relaxed, PBE.

Values from the calculation:
energy above the most stable polymorph in this dataset = 0.074 eV/atom

Unit cell a=4.753 b=4.753 c=4.753 alpha=60.00 beta=60.00 gamma=60.00
Fractional positions:
Fe (0.000, 0.000, 0.000)
Mg (0.750, 0.750, 0.750)
Sn (0.500, 0.500, 0.500)
Zr (0.250, 0.250, 0.250)

13.
Nd2Y2CBr2Cl3: relaxed, PBE.

Values from the calculation:
energy above the most stable polymorph in this dataset = 0.011 eV/atom

Unit cell a=8.997 b=8.997 c=7.939 alpha=103.27 beta=103.27 gamma=24.39
Fractional positions:
Br (0.163, 0.163, 0.369)
Br (0.837, 0.837, 0.631)
C (0.500, 0.500, 0.000)
Cl (0.834, 0.834, 0.176)
Cl (0.500, 0.500, 0.500)
Cl (0.166, 0.166, 0.824)
Nd (0.647, 0.647, 0.081)
Nd (0.353, 0.353, 0.919)
Y (0.998, 0.998, 0.209)
Y (0.002, 0.002, 0.791)

14.
Er3Pd: relaxed, PBE.

Values from the calculation:
ΔH_f (0 K) = -0.49 eV/atom

Unit cell a=6.960 b=9.529 c=6.382 alpha=90.00 beta=90.00 gamma=90.00
Fractional positions:
Er (0.023, 0.250, 0.129)
Er (0.317, 0.559, 0.176)
Er (0.317, 0.941, 0.176)
Er (0.817, 0.559, 0.324)
Er (0.817, 0.941, 0.324)
Er (0.523, 0.250, 0.371)
Er (0.477, 0.750, 0.629)
Er (0.183, 0.059, 0.676)
Er (0.183, 0.441, 0.676)
Er (0.683, 0.059, 0.824)
Er (0.683, 0.441, 0.824)
Er (0.977, 0.750, 0.871)
Pd (0.609, 0.750, 0.056)
Pd (0.109, 0.750, 0.444)
Pd (0.891, 0.250, 0.556)
Pd (0.391, 0.250, 0.944)

15.
Er4Si9Ir13: relaxed, PBE.

Values from the calculation:
calculated total energy = -7.996 eV per atom

Unit cell a=19.000 b=11.010 c=3.948 alpha=90.00 beta=90.00 gamma=90.00
Fractional positions:
Er (0.792, 0.059, 0.250)
Er (0.978, 0.250, 0.250)
Er (0.792, 0.441, 0.250)
Er (0.481, 0.750, 0.250)
Er (0.519, 0.250, 0.750)
Er (0.208, 0.559, 0.750)
Er (0.022, 0.750, 0.750)
Er (0.208, 0.941, 0.750)
Ir (0.461, 0.061, 0.250)
Ir (0.143, 0.125, 0.250)
Ir (0.657, 0.250, 0.250)
Ir (0.143, 0.375, 0.250)
Ir (0.461, 0.439, 0.250)
Ir (0.953, 0.550, 0.250)
Ir (0.335, 0.566, 0.250)
Ir (0.645, 0.622, 0.250)
Ir (0.142, 0.750, 0.250)
Ir (0.773, 0.750, 0.250)
Ir (0.645, 0.878, 0.250)
Ir (0.335, 0.934, 0.250)
Ir (0.953, 0.950, 0.250)
Ir (0.047, 0.050, 0.750)
Ir (0.665, 0.066, 0.750)
Ir (0.355, 0.122, 0.750)
Ir (0.227, 0.250, 0.750)
Ir (0.858, 0.250, 0.750)
Ir (0.355, 0.378, 0.750)
Ir (0.665, 0.434, 0.750)
Ir (0.047, 0.450, 0.750)
Ir (0.539, 0.561, 0.750)
Ir (0.857, 0.625, 0.750)
Ir (0.343, 0.750, 0.750)
Ir (0.857, 0.875, 0.750)
Ir (0.539, 0.939, 0.750)
Si (0.585, 0.069, 0.250)
Si (0.271, 0.123, 0.250)
Si (0.398, 0.250, 0.250)
Si (0.271, 0.377, 0.250)
Si (0.585, 0.431, 0.250)
Si (0.081, 0.562, 0.250)
Si (0.267, 0.750, 0.250)
Si (0.898, 0.750, 0.250)
Si (0.081, 0.938, 0.250)
Si (0.919, 0.062, 0.750)
Si (0.102, 0.250, 0.750)
Si (0.733, 0.250, 0.750)
Si (0.919, 0.438, 0.750)
Si (0.415, 0.569, 0.750)
Si (0.729, 0.623, 0.750)
Si (0.602, 0.750, 0.750)
Si (0.729, 0.877, 0.750)
Si (0.415, 0.931, 0.750)

16.
NaTbAgSe3: relaxed, PBE.

Values from the calculation:
calculated total energy = -4.241 eV per atom

Unit cell a=10.812 b=4.062 c=13.720 alpha=90.00 beta=90.00 gamma=90.00
Fractional positions:
Ag (0.266, 0.250, 0.219)
Ag (0.766, 0.250, 0.281)
Ag (0.234, 0.750, 0.719)
Ag (0.734, 0.750, 0.781)
Na (0.279, 0.750, 0.010)
Na (0.779, 0.750, 0.490)
Na (0.221, 0.250, 0.510)
Na (0.721, 0.250, 0.990)
Se (0.078, 0.250, 0.103)
Se (0.464, 0.250, 0.112)
Se (0.767, 0.750, 0.159)
Se (0.267, 0.750, 0.341)
Se (0.964, 0.250, 0.388)
Se (0.578, 0.250, 0.397)
Se (0.422, 0.750, 0.603)
Se (0.036, 0.750, 0.612)
Se (0.733, 0.250, 0.659)
Se (0.233, 0.250, 0.841)
Se (0.536, 0.750, 0.888)
Se (0.922, 0.750, 0.897)
Tb (0.018, 0.750, 0.244)
Tb (0.518, 0.750, 0.256)
Tb (0.482, 0.250, 0.744)
Tb (0.982, 0.250, 0.756)

17.
ZrCo2Sn: relaxed, PBE.

Values from the calculation:
calculated total energy = -6.929 eV per atom

Unit cell a=6.090 b=6.092 c=6.747 alpha=90.00 beta=90.00 gamma=90.00
Fractional positions:
Co (0.500, 0.500, 0.250)
Co (0.500, 0.000, 0.250)
Co (0.000, 0.000, 0.250)
Co (0.000, 0.500, 0.250)
Co (0.000, 0.500, 0.750)
Co (0.000, 0.000, 0.750)
Co (0.500, 0.000, 0.750)
Co (0.500, 0.500, 0.750)
Sn (0.750, 0.250, 0.000)
Sn (0.250, 0.750, 0.000)
Sn (0.250, 0.750, 0.500)
Sn (0.750, 0.250, 0.500)
Zr (0.250, 0.250, 0.000)
Zr (0.750, 0.750, 0.000)
Zr (0.750, 0.750, 0.500)
Zr (0.250, 0.250, 0.500)

18.
RbLu2Cu3Se5: relaxed, PBE.

Values from the calculation:
calculated total energy = -4.614 eV per atom

Unit cell a=7.532 b=7.532 c=16.871 alpha=90.00 beta=90.00 gamma=148.60
Fractional positions:
Cu (0.416, 0.584, 0.032)
Cu (0.655, 0.345, 0.250)
Cu (0.416, 0.584, 0.468)
Cu (0.584, 0.416, 0.532)
Cu (0.345, 0.655, 0.750)
Cu (0.584, 0.416, 0.968)
Lu (0.191, 0.809, 0.093)
Lu (0.191, 0.809, 0.407)
Lu (0.809, 0.191, 0.593)
Lu (0.809, 0.191, 0.907)
Rb (0.938, 0.062, 0.250)
Rb (0.062, 0.938, 0.750)
Se (0.831, 0.169, 0.071)
Se (0.561, 0.439, 0.117)
Se (0.245, 0.755, 0.250)
Se (0.561, 0.439, 0.383)
Se (0.831, 0.169, 0.429)
Se (0.169, 0.831, 0.571)
Se (0.439, 0.561, 0.617)
Se (0.755, 0.245, 0.750)
Se (0.439, 0.561, 0.883)
Se (0.169, 0.831, 0.929)

19.
Tb2Ga2PdPt3: relaxed, PBE.

Values from the calculation:
calculated total energy = -5.859 eV per atom

Unit cell a=4.398 b=4.398 c=9.131 alpha=90.00 beta=90.00 gamma=120.00
Fractional positions:
Ga (0.667, 0.333, 0.500)
Ga (0.667, 0.333, 0.995)
Pd (0.000, 0.000, 0.084)
Pt (0.000, 0.000, 0.413)
Pt (0.333, 0.667, 0.584)
Pt (0.333, 0.667, 0.921)
Tb (0.333, 0.667, 0.253)
Tb (0.000, 0.000, 0.749)

20.
LuAlCoNi: relaxed, PBE.

Values from the calculation:
energy above the most stable polymorph in this dataset = 0.000 eV/atom

Unit cell a=4.356 b=4.356 c=4.356 alpha=60.00 beta=60.00 gamma=60.00
Each line ends with the local moment (μB).
Fractional positions:
Al (0.000, 0.000, 0.000)  0.00
Co (0.750, 0.750, 0.750)  0.30
Lu (0.500, 0.500, 0.500)  -0.02
Ni (0.250, 0.250, 0.250)  0.10